A relaxed CrIn2Re crystal, computed with PBE.

Output
- Formation energy from the elements: 0.565 eV/atom

Cell and atoms, written as POSCAR:
```
CrIn2Re
1.0
0.000 3.288 3.288
3.288 0.000 3.288
3.288 3.288 0.000
Re Cr In
1 1 2
direct
0.500 0.500 0.500
0.000 0.000 0.000
0.250 0.250 0.250
0.750 0.750 0.750
```